Here is a relaxed structure of Bi2TeSe2 from the Alexandria database. Energies are from PBE.

Properties
Fermi-level density of states: 0.000 states/eV/atom
Uncorrected formation energy: -0.349 eV per atom

Geometry as CIF:
```
data_Bi2TeSe2
_symmetry_space_group_name_H-M 'P 1'
_symmetry_Int_Tables_number 1
_symmetry_space_group_name_Hall 'P 1'
_cell_length_a 4.269
_cell_length_b 4.269
_cell_length_c 10.627
_cell_angle_alpha 78.41
_cell_angle_beta 78.41
_cell_angle_gamma 60.00
loop_
_atom_site_label
_atom_site_fract_x
_atom_site_fract_y
_atom_site_fract_z
Se1 0.773 0.773 0.680
Se2 0.996 0.996 0.011
Bi1 0.601 0.601 0.197
Bi2 0.391 0.391 0.828
Te1 0.210 0.210 0.371
```